Compound: LiPm2ErTe5
Source: the Alexandria database
Functional: GGA-PBE
Structure: optimized geometry

The structure belongs to space group Cmc2_1 (No. 36); the cell edges are 4.3798, 18.6620 and 13.1963 Å and the angles 90.00°, 90.00° and 90.00°. The asymmetric unit holds Li at (0.0000, 0.0589, 0.0000), Pm at (0.0000, 0.3732, 0.8381), Pm at (0.0000, 0.3941, 0.2223), Er at (0.0000, 0.3026, 0.5462), Te at (0.0000, 0.0019, 0.3197), Te at (0.0000, 0.1391, 0.5351), Te at (0.0000, 0.1894, 0.8826), Te at (0.0000, 0.2176, 0.2044) and Te at (0.0000, 0.4526, 0.6091).

The calculation puts the size of the total moment at 0.00 μB per cell. As for the formation energy (no corrections): -1305 meV/atom.